1.
A relaxed BeGa3I crystal, computed with PBE-GGA.

Summary:
D(E_F) (states/eV per cell): 1.750
Energy relative to the lowest polymorph listed for this composition (eV per atom): 0.000
Spin magnetization (μB per cell): 0.00
Formation energy from raw total energies (eV/f.u.): 0.61

POSCAR file:
```
BeGa3I
1.0
4.803 0.000 0.000
0.000 4.803 0.000
0.000 0.000 4.803
Be Ga I
1 3 1
Direct
0.000 0.000 0.000
0.000 0.000 0.500
0.000 0.500 0.000
0.500 0.000 0.000
0.500 0.500 0.500
```

2.
A relaxed BeGaI3 crystal, computed with PBE-GGA.

Summary:
D(E_F) (states/eV per cell): 1.607
Energy relative to the lowest polymorph listed for this composition (eV per atom): 0.904
Spin magnetization (μB per cell): 0.09
Formation energy from raw total energies (eV/f.u.): 2.37

POSCAR file:
```
BeGaI3
1.0
5.646 0.000 0.000
0.000 5.646 0.000
0.000 0.000 5.646
Be Ga I
1 1 3
Direct
0.000 0.000 0.000
0.500 0.500 0.500
0.000 0.500 0.500
0.500 0.000 0.500
0.500 0.500 0.000
```

3.
A relaxed BeGaI2 crystal, computed with PBE-GGA.

Summary:
D(E_F) (states/eV per cell): 3.314
Energy relative to the lowest polymorph listed for this composition (eV per atom): 0.340
Spin magnetization (μB per cell): 0.00
Formation energy from raw total energies (eV/f.u.): 1.95

POSCAR file:
```
BeGaI2
1.0
0.000 3.819 3.819
3.819 0.000 3.819
3.819 3.819 0.000
Be Ga I
1 1 2
Direct
0.000 0.000 0.000
0.500 0.500 0.500
0.250 0.250 0.250
0.750 0.750 0.750
```

4.
A relaxed Be2GaMoI crystal, computed with PBE-GGA.

Summary:
D(E_F) (states/eV per cell): 3.772
Spin magnetization (μB per cell): 2.40
Formation energy from raw total energies (eV/f.u.): 6.00

POSCAR file:
```
Be2GaMoI
1.0
4.676 0.000 0.000
0.000 4.676 0.000
0.000 0.000 5.101
Be Ga Mo I
2 1 1 1
Direct
0.000 0.500 0.000
0.500 0.000 0.000
0.000 0.000 0.500
0.000 0.000 0.000
0.500 0.500 0.500
```